Entry 1:
A crystal of Lu2CdPd2 relaxed with PBEsol, computed with meta-GGA SCAN. Values from VASP.

Computed properties:
E_form ... -0.912 eV per atom
SG ... P4/mbm, No. 127
Calculated total energy ... -42.24 eV/atom

Structure (Quantum ESPRESSO input):
```
&SYSTEM
  ibrav = 0, nat = 10, ntyp = 3
/
ATOMIC_SPECIES
Lu 174.97 Lu.upf
Pd 106.42 Pd.upf
Cd 112.41 Cd.upf
CELL_PARAMETERS angstrom
-0.767 -0.026 -3.428
7.324 -0.819 -1.632
-0.787 -7.503 0.234
ATOMIC_POSITIONS crystal
Lu 0.500 0.669 0.831
Lu 0.500 0.831 0.331
Lu 0.500 0.169 0.669
Lu 0.500 0.331 0.169
Pd 0.000 0.370 0.870
Pd 0.000 0.130 0.370
Pd 0.000 0.870 0.630
Pd 0.000 0.630 0.130
Cd 0.000 0.000 0.000
Cd 0.000 0.500 0.500
```

Entry 2:
A crystal of Cu2AsRu relaxed with PBEsol, computed with meta-GGA SCAN. Values from VASP.

Computed properties:
E_form ... 0.056 eV per atom
SG ... Pm, No. 6
Calculated total energy ... -21.30 eV/atom

Structure (Quantum ESPRESSO input):
```
&SYSTEM
  ibrav = 0, nat = 4, ntyp = 3
/
ATOMIC_SPECIES
As 74.92 As.upf
Cu 63.55 Cu.upf
Ru 101.07 Ru.upf
CELL_PARAMETERS angstrom
2.858 0.000 -0.030
0.000 3.638 0.000
-1.383 0.000 5.073
ATOMIC_POSITIONS crystal
As 0.046 0.500 0.713
Cu 0.200 0.000 0.026
Cu 0.798 0.500 0.223
Ru 0.457 0.000 0.537
```

Entry 3:
A crystal of NaGaBr2 relaxed with PBEsol, computed with meta-GGA SCAN. Values from VASP.

Computed properties:
ΔE_f (raw) ... -0.98 eV per atom
SG ... I-42d, No. 122
Energy relative to the lowest polymorph listed for this composition ... 12 meV per atom
Calculated total energy ... -15.85 eV/atom

Structure (Quantum ESPRESSO input):
```
&SYSTEM
  ibrav = 0, nat = 8, ntyp = 3
/
ATOMIC_SPECIES
Na 22.99 Na.upf
Ga 69.72 Ga.upf
Br 79.90 Br.upf
CELL_PARAMETERS angstrom
6.555 0.000 0.000
0.000 6.555 0.000
-3.278 -3.278 6.975
ATOMIC_POSITIONS crystal
Na 0.750 0.250 0.500
Na 0.500 0.500 0.000
Ga 0.250 0.750 0.500
Ga 0.000 0.000 0.000
Br 0.392 0.875 0.250
Br 0.858 0.375 0.250
Br 0.125 0.142 0.750
Br 0.625 0.608 0.750
```

| no. | D(E_F) (states/eV/atom) |
| --- | --- |
| 1 | 0.488 |
| 2 | 0.407 |
| 3 | 0.000 |